[1]
YTlFeS3 | PBE-GGA | optimized geometry

Cell: 11.004 4.101 11.938 Å, 90.00 90.00 90.00°
Space group Pnma (No. 62)
Inequivalent atoms, fractional coordinates:
Y 0.020 0.250 0.168
Tl 0.164 0.250 0.509
Fe 0.247 0.250 0.798
S 0.048 0.750 0.320
S 0.107 0.250 0.943
S 0.217 0.750 0.706

Computed properties:
Magnetic moment in μB per formula unit: 4.00
Calculated total energy in eV/atom: -5.93
ρ in g cm⁻³: 5.5

---

[2]
HfGaBr2 | PBE-GGA | optimized geometry

Cell: 8.360 4.728 8.051 Å, 90.00 108.45 90.00°
Space group Cm (No. 8)
Inequivalent atoms, fractional coordinates:
Hf 0.000 0.000 0.000
Ga 0.170 0.500 0.000
Br 0.100 0.000 0.326
Br 0.389 0.500 0.675

Computed properties:
Magnetic moment in μB per formula unit: 0.00
Calculated total energy in eV/atom: -4.51
ρ in g cm⁻³: 4.5

---

[3]
HoScZn6 | PBE-GGA | optimized geometry

Cell: 4.579 4.579 6.464 Å, 90.00 90.00 90.00°
Space group P4/mmm (No. 123)
Inequivalent atoms, fractional coordinates:
Ho 0.000 0.000 0.000
Sc 0.500 0.500 0.500
Zn 0.000 0.000 0.500
Zn 0.000 0.500 0.263
Zn 0.500 0.500 0.000

Computed properties:
Magnetic moment in μB per formula unit: 0.01
ΔE_f in eV/atom: -0.29
ρ in g cm⁻³: 7.4

---

[4]
PaZnW | PBE-GGA | optimized geometry

Cell: 6.334 6.334 6.334 Å, 90.00 90.00 90.00°
Space group F-43m (No. 216)
Inequivalent atoms, fractional coordinates:
Pa 0.000 0.000 0.000
Zn 0.250 0.250 0.250
W 0.000 0.000 0.500

Computed properties:
Magnetic moment in μB per formula unit: 0.00
ΔE_f in eV/atom: 0.75
Energy above the lowest structure with this stoichiometry in eV per formula unit: 0.000
ρ in g cm⁻³: 12.6